This record from Alexandria via LeMat-Bulk describes an optimized crystal structure of Tb6YTl. The functional is PBE.

a b c (Å): 4.9155 4.9155 10.1118
angles (deg): 90.00 90.00 90.00
Fractional positions:
Y: 0.0000 0.0000 0.5000
Tb: 0.5000 0.0000 0.7555
Tb: 0.0000 0.5000 0.7555
Tb: 0.5000 0.0000 0.2445
Tb: 0.5000 0.5000 0.5000
Tb: 0.0000 0.5000 0.2445
Tb: 0.5000 0.5000 0.0000
Tl: 0.0000 0.0000 0.0000

Output
Polymorph energy (0 for the lowest one), eV per atom: 0.000
Formation enthalpy at 0 K, kJ/mol of atoms: -7.3
Magnetic moment, μB per cell: 0.0
Density of states at the Fermi level, states/eV/atom: 1.174